TbEr2Tl3Te6: optimized geometry, PBE.

```
data_TbEr2Tl3Te6
_chemical_formula_sum 'Tb2 Er4 Tl6 Te12'
_cell_length_a 7.685
_cell_length_b 13.312
_cell_length_c 8.581
_cell_angle_alpha 90.00
_cell_angle_beta 107.37
_cell_angle_gamma 90.00
_space_group_name_H-M_alt 'C 1 2/m 1'
_space_group_IT_number 12
loop_
_space_group_symop_operation_xyz
'x,y,z'
'-x,-y,-z'
'-x,y,-z'
'x,-y,z'
'x+1/2,y+1/2,z'
'-x+1/2,-y+1/2,-z'
'-x+1/2,y+1/2,-z'
'x+1/2,-y+1/2,z'
loop_
_atom_site_label
_atom_site_fract_x
_atom_site_fract_y
_atom_site_fract_z
_atom_site_occupancy
Tb1 0.000 0.000 0.000 1
Er1 0.000 0.333 0.000 1
Tl1 0.000 0.166 0.500 1
Tl2 0.000 0.500 0.500 1
Te1 0.234 0.500 0.212 1
Te2 0.239 0.168 0.212 1
```

Crystal system: monoclinic
Formation energy from raw total energies (meV per atom): -1046

Sr4Al: optimized geometry, PBE.

```
data_Sr4Al
_chemical_formula_sum 'Sr4 Al1'
_cell_length_a 6.395
_cell_length_b 6.395
_cell_length_c 6.395
_cell_angle_alpha 90.00
_cell_angle_beta 90.00
_cell_angle_gamma 90.00
_space_group_name_H-M_alt 'P m -3 m'
_space_group_IT_number 221
_space_group_name_Hall '-P 4 2 3'
loop_
_atom_site_label
_atom_site_fract_x
_atom_site_fract_y
_atom_site_fract_z
_atom_site_occupancy
Sr1 0.000 0.000 0.000 1
Sr2 0.000 0.500 0.500 1
Al1 0.500 0.500 0.500 1
```

Crystal system: cubic
Formation energy (eV/atom): 0.083
E above lowest polymorph (eV/f.u.): 0.00

PaTe2Cl2O6: optimized geometry, PBE.

```
data_PaTe2Cl2O6
_chemical_formula_sum 'Pa1 Te2 Cl2 O6'
_cell_length_a 6.5653
_cell_length_b 6.5653
_cell_length_c 6.5999
_cell_angle_alpha 90.00
_cell_angle_beta 90.00
_cell_angle_gamma 120.00
_space_group_name_H-M_alt 'P -3 m 1'
_space_group_IT_number 164
_space_group_name_Hall '-P 3 2"'
loop_
_atom_site_label
_atom_site_fract_x
_atom_site_fract_y
_atom_site_fract_z
_atom_site_occupancy
Pa1 0.0000 0.0000 0.0000 1
Te1 0.3333 0.6667 0.8101 1
Cl1 0.3333 0.6667 0.4539 1
O1 0.1593 0.3186 0.8172 1
```

Crystal system: trigonal
Formation energy from raw total energies (meV per atom): -1497

CdCu2RuPt: optimized geometry, PBE.

```
data_CdCu2RuPt
_chemical_formula_sum 'Cd1 Cu2 Ru1 Pt1'
_cell_length_a 4.576
_cell_length_b 4.576
_cell_length_c 4.945
_cell_angle_alpha 90.00
_cell_angle_beta 90.00
_cell_angle_gamma 90.00
_space_group_name_H-M_alt 'P 4/m m m'
_space_group_IT_number 123
_space_group_name_Hall '-P 4 2'
loop_
_atom_site_label
_atom_site_fract_x
_atom_site_fract_y
_atom_site_fract_z
_atom_site_occupancy
Cd1 0.000 0.000 0.000 1
Cu1 0.000 0.500 0.000 1
Ru1 0.000 0.000 0.500 1
Pt1 0.500 0.500 0.500 1
```

Crystal system: tetragonal
Formation energy (eV/atom): 1.595

SrZn2SbN: optimized geometry, PBE.

```
data_SrZn2SbN
_chemical_formula_sum 'Sr1 Zn2 Sb1 N1'
_cell_length_a 4.453
_cell_length_b 4.453
_cell_length_c 5.391
_cell_angle_alpha 90.00
_cell_angle_beta 90.00
_cell_angle_gamma 90.00
_space_group_name_H-M_alt 'P 4/m m m'
_space_group_IT_number 123
_space_group_name_Hall '-P 4 2'
loop_
_atom_site_label
_atom_site_fract_x
_atom_site_fract_y
_atom_site_fract_z
_atom_site_occupancy
Sr1 0.000 0.000 0.000 1
Zn1 0.000 0.500 0.500 1
Sb1 0.500 0.500 0.000 1
N1 0.500 0.500 0.500 1
```

Crystal system: tetragonal
Formation energy from raw total energies (meV per atom): 226

NpCoSi3: optimized geometry, PBE.

```
data_NpCoSi3
_chemical_formula_sum 'Np4 Co4 Si12'
_cell_length_a 7.543
_cell_length_b 3.666
_cell_length_c 10.342
_cell_angle_alpha 90.00
_cell_angle_beta 90.00
_cell_angle_gamma 90.00
_space_group_name_H-M_alt 'P n m a'
_space_group_IT_number 62
loop_
_space_group_symop_operation_xyz
'x,y,z'
'-x,-y,-z'
'-x+1/2,-y,z+1/2'
'x+1/2,y,-z+1/2'
'x+1/2,-y+1/2,-z+1/2'
'-x+1/2,y+1/2,z+1/2'
'-x,y+1/2,-z'
'x,-y+1/2,z'
loop_
_atom_site_label
_atom_site_fract_x
_atom_site_fract_y
_atom_site_fract_z
_atom_site_occupancy
Np1 0.109 0.250 0.008 1
Co1 0.079 0.250 0.353 1
Si1 0.078 0.250 0.573 1
Si2 0.138 0.750 0.790 1
Si3 0.141 0.750 0.229 1
```

Crystal system: orthorhombic
Formation energy from raw total energies (meV per atom): -339

PmTi2Pt3: optimized geometry, PBE.

```
data_PmTi2Pt3
_chemical_formula_sum 'Pm4 Ti8 Pt12'
_cell_length_a 10.447
_cell_length_b 7.975
_cell_length_c 5.652
_cell_angle_alpha 90.00
_cell_angle_beta 90.00
_cell_angle_gamma 90.00
_space_group_name_H-M_alt 'C m c m'
_space_group_IT_number 63
_space_group_name_Hall '-C 2c 2'
loop_
_atom_site_label
_atom_site_fract_x
_atom_site_fract_y
_atom_site_fract_z
_atom_site_occupancy
Pm1 0.000 0.165 0.250 1
Ti1 0.210 0.500 0.000 1
Pt1 0.000 0.462 0.750 1
Pt2 0.155 0.191 0.750 1
```

Crystal system: orthorhombic
Formation energy (eV/atom): -0.871

Cd3Ga12As5: optimized geometry, PBE.

```
data_Cd3Ga12As5
_chemical_formula_sum 'Cd24 Ga96 As40'
_cell_length_a 15.556
_cell_length_b 15.556
_cell_length_c 15.556
_cell_angle_alpha 90.00
_cell_angle_beta 90.00
_cell_angle_gamma 90.00
_space_group_name_H-M_alt 'I a -3 d'
_space_group_IT_number 230
_space_group_name_Hall '-I 4bd 2c 3'
loop_
_atom_site_label
_atom_site_fract_x
_atom_site_fract_y
_atom_site_fract_z
_atom_site_occupancy
Cd1 0.000 0.250 0.125 1
Ga1 0.021 0.078 0.652 1
As1 0.000 0.000 0.000 1
As2 0.000 0.250 0.375 1
```

Crystal system: cubic
Formation energy (eV/atom): 0.051